Entry from the Alexandria database: an optimized crystal structure of Th4CuTe5 (PBE-GGA).

```
10
Lattice="-0.076 -3.196 2.943 7.744 -2.790 -2.832 2.294 7.920 5.454" Properties=species:S:1:pos:R:3 pbc="T T T"
Th 8.548 1.755 2.126
Th 8.159 2.574 6.213
Th 1.415 0.179 3.439
Th 1.804 -0.640 -0.649
Cu -0.038 -1.598 1.471
Te 6.483 0.792 4.236
Te 2.789 2.102 5.563
Te 7.174 -0.168 0.002
Te 3.834 -2.993 0.056
Te 3.480 1.141 1.329
```

## Properties
Energy, eV/atom: -5.81
Energy relative to the elements, uncorrected, eV/f.u.: -8.65
M_tot, μB per formula unit: 0.0
SG: No. 12

***

Entry from the Alexandria database: an optimized crystal structure of PmEuErTh (PBE-GGA).

```
4
Lattice="5.772 0.000 0.000 2.886 4.999 0.000 2.886 1.666 4.713" Properties=species:S:1:pos:R:3 pbc="T T T"
Eu 0.000 0.000 0.000
Pm 8.658 4.999 3.535
Th 5.772 3.333 2.356
Er 2.886 1.666 1.178
```

## Properties
Energy, eV/atom: -6.54
M_tot, μB per formula unit: 6.9
SG: No. 216
E_form, eV/atom: 0.215

***

Entry from the Alexandria database: an optimized crystal structure of CsZrW3 (PBE-GGA).

```
5
Lattice="5.100 0.000 0.000 0.000 5.100 0.000 0.000 0.000 5.100" Properties=species:S:1:pos:R:3 pbc="T T T"
Cs 2.550 2.550 2.550
Zr 0.000 0.000 0.000
W 0.000 2.550 0.000
W 0.000 0.000 2.550
W 2.550 0.000 0.000
```

## Properties
Energy, eV/atom: -6.83
M_tot, μB per formula unit: 1.4
Relative energy among the computed polymorphs, eV per atom: 0.000
SG: No. 221
E_form, eV/atom: 2.822

***

Entry from the Alexandria database: an optimized crystal structure of Ac3Pr3Tl2Sn (PBE-GGA).

```
9
Lattice="-3.729 0.454 -2.429 -3.947 -6.649 4.817 -0.729 8.658 2.739" Properties=species:S:1:pos:R:3 pbc="T T T"
Ac -4.725 -4.591 2.277
Ac -2.393 6.501 0.770
Ac -3.152 0.781 0.866
Pr -2.828 1.215 4.570
Pr -0.288 3.422 1.082
Pr -1.560 -2.628 1.904
Tl -4.739 -1.319 2.910
Tl -3.666 3.783 2.217
Sn 0.000 0.000 0.000
```

## Properties
Energy, eV/atom: -4.24
M_tot, μB per formula unit: 0.0
SG: No. 189
E_form, eV/atom: -0.303

***

Entry from the Alexandria database: an optimized crystal structure of CuIrS2 (PBE-GGA).

```
8
Lattice="-9.956 -1.255 -8.108 -3.882 -2.804 -0.031 0.324 0.794 4.711" Properties=species:S:1:pos:R:3 pbc="T T T"
S -2.473 -0.364 1.263
S -10.266 -3.192 -4.227
S -5.387 -1.838 -1.586
S -8.974 -1.069 -2.332
Ir -4.642 -1.504 0.775
Ir -10.687 -2.734 -1.876
Cu -3.155 -0.665 -1.173
Cu -8.608 -1.562 -4.602
```

## Properties
Energy, eV/atom: -5.36
Energy relative to the elements, uncorrected, eV/f.u.: -0.24
M_tot, μB per formula unit: 0.0
SG: No. 9

***

Entry from the Alexandria database: an optimized crystal structure of HgPdPt (PBE-GGA).

```
18
Lattice="-5.319 -5.280 -0.379 4.479 0.339 6.714 -3.145 2.766 5.598" Properties=species:S:1:pos:R:3 pbc="T T T"
Pd -0.584 0.164 6.139
Pd -3.384 -2.323 5.795
Pd 0.012 -2.195 7.639
Pd -5.627 -1.599 4.177
Pd -4.679 -2.141 9.343
Pd -0.154 -0.877 2.529
Hg -2.944 0.513 4.641
Hg 2.165 0.493 7.521
Hg -0.770 -2.340 4.838
Hg -5.975 -2.577 6.898
Hg -4.222 -4.118 3.777
Hg -2.523 -0.798 7.959
Pt -4.985 -4.949 -0.356
Pt -6.557 -3.566 2.443
Pt -2.893 -1.755 3.078
Pt -0.209 0.455 8.918
Pt 1.745 -1.264 5.440
Pt -4.847 -0.037 6.556
```

## Properties
Energy, eV/atom: -3.78
M_tot, μB per formula unit: 0.0
Relative energy among the computed polymorphs, eV per atom: 0.086
SG: No. 46
E_form, eV/atom: 0.069

***

Entry from the Alexandria database: an optimized crystal structure of Ba2BPC (PBE-GGA).

```
5
Lattice="5.760 0.000 0.000 0.000 3.681 0.000 0.000 0.000 5.760" Properties=species:S:1:pos:R:3 pbc="T T T"
P 0.000 1.841 0.000
C 0.000 0.000 0.000
B 2.880 1.841 2.880
Ba 0.000 0.000 2.880
Ba 2.880 0.000 0.000
```

## Properties
Energy, eV/atom: -4.37
M_tot, μB per formula unit: 0.0
SG: No. 123
E_form, eV/atom: 0.657

***

Entry from the Alexandria database: an optimized crystal structure of Cu3OF5 (PBE-GGA).

```
18
Lattice="-4.276 2.709 -2.382 -4.461 -3.288 0.762 -3.655 2.934 5.381" Properties=species:S:1:pos:R:3 pbc="T T T"
Cu -8.820 2.055 3.399
Cu -7.255 0.599 0.715
Cu 0.000 0.000 0.000
Cu -1.827 1.467 2.690
Cu -3.571 0.301 0.363
Cu -5.137 1.756 3.046
O -3.352 2.026 3.667
O -9.040 0.329 0.094
F -7.107 2.400 -0.241
F -4.404 -1.449 -0.202
F -6.818 -0.360 -1.088
F -5.266 0.796 1.208
F -7.125 1.559 2.554
F -5.573 2.715 4.849
F -7.219 -1.215 1.655
F -4.332 0.870 -1.418
F -5.285 -0.044 4.002
F -5.173 3.570 2.107
```

## Properties
Energy, eV/atom: -4.23
Energy relative to the elements, uncorrected, eV/f.u.: -11.43
M_tot, μB per formula unit: 2.8
Relative energy among the computed polymorphs, eV per atom: 0.027
SG: No. 12

***

Entry from the Alexandria database: an optimized crystal structure of Mn5Os (PBE-GGA).

```
6
Lattice="-1.003 -0.016 -2.376 -2.881 -2.828 2.634 -4.370 3.643 1.820" Properties=species:S:1:pos:R:3 pbc="T T T"
Mn -8.210 0.785 2.060
Mn -5.783 0.393 2.438
Mn -4.514 1.444 0.496
Mn -2.091 1.169 0.875
Mn -3.768 -0.687 1.595
Os -2.247 -1.044 -0.444
```

## Properties
Energy, eV/atom: -9.47
M_tot, μB per formula unit: 0.0
SG: No. 8
E_form, eV/atom: 0.044

***

Entry from the Alexandria database: an optimized crystal structure of Tb3ErHg3 (PBE-GGA).

```
14
Lattice="5.160 0.000 0.000 0.000 9.295 0.000 0.000 -4.647 8.049" Properties=species:S:1:pos:R:3 pbc="T T T"
Tb 3.870 3.591 6.067
Tb 3.870 2.245 0.077
Tb 3.870 8.106 1.906
Tb 1.290 1.056 1.983
Tb 1.290 2.402 7.973
Tb 1.290 -3.458 6.143
Er 1.290 4.647 2.683
Er 3.870 0.000 5.366
Hg 1.290 2.359 4.914
Hg 1.290 -0.788 7.635
Hg 1.290 -1.571 3.549
Hg 3.870 2.288 3.135
Hg 3.870 5.435 0.414
Hg 3.870 6.219 4.500
```

## Properties
Energy, eV/atom: -3.04
M_tot, μB per formula unit: 0.0
SG: No. 176
E_form, eV/atom: -0.273

***

Entry from the Alexandria database: an optimized crystal structure of Ag2P (PBE-GGA).

```
3
Lattice="5.050 0.051 -0.026 2.662 4.292 0.026 -3.608 -2.613 2.381" Properties=species:S:1:pos:R:3 pbc="T T T"
Ag 2.620 1.476 0.000
Ag 5.092 2.867 0.000
P 0.000 0.000 0.000
```

## Properties
Energy, eV/atom: -3.40
M_tot, μB per formula unit: 0.0
Relative energy among the computed polymorphs, eV per atom: 0.131
SG: No. 71
E_form, eV/atom: 0.300

***

Entry from the Alexandria database: an optimized crystal structure of Fe4Re (PBE-GGA).

```
5
Lattice="4.413 0.000 0.000 0.000 4.413 0.000 0.000 0.000 4.413" Properties=species:S:1:pos:R:3 pbc="T T T"
Re 2.207 2.207 2.207
Fe 0.000 0.000 0.000
Fe 2.207 0.000 2.207
Fe 0.000 2.207 2.207
Fe 2.207 2.207 0.000
```

## Properties
Energy, eV/atom: -7.60
M_tot, μB per formula unit: 7.1
SG: No. 221
E_form, eV/atom: 1.657